# 1
{"formula": "Rb3BiI4", "functional": "PBE", "state": "relaxed", "raw_formation_energy_ev_per_atom": -0.991, "mass_density_g_cm3": 3.408, "spacegroup": "Pmn2_1, No. 31", "total_energy_ev_per_atom": -2.6140, "crystal_system": "orthorhombic", "lattice": [[-1.795, -3.190, -6.070], [10.849, -0.266, -3.069], [1.213, -10.586, 5.205]], "species": ["Rb", "Rb", "Rb", "Rb", "Rb", "Rb", "Bi", "Bi", "I", "I", "I", "I", "I", "I", "I", "I"], "fractional_positions": [[0.566, 0.932, 0.000], [0.061, 0.634, 0.197], [0.561, 0.366, 0.303], [0.066, 0.068, 0.500], [0.561, 0.366, 0.697], [0.061, 0.634, 0.803], [0.027, 0.317, 0.000], [0.527, 0.683, 0.500], [0.066, 0.871, 0.000], [0.609, 0.267, 0.000], [0.062, 0.315, 0.266], [0.562, 0.685, 0.234], [0.109, 0.733, 0.500], [0.566, 0.129, 0.500], [0.562, 0.685, 0.766], [0.062, 0.315, 0.734]]}

***

# 2
{"formula": "LaCd2Os", "functional": "PBE", "state": "relaxed", "formation_energy_mev_per_atom": 118, "mass_density_g_cm3": 10.492, "spacegroup": "I4/mmm, No. 139", "total_energy_ev_per_atom": -4.3788, "crystal_system": "tetragonal", "lattice": [[5.629, 0.004, 0.000], [2.336, 5.121, 0.000], [-3.983, -2.562, 3.042]], "species": ["Cd", "Cd", "Os", "La"], "fractional_positions": [[0.000, 0.000, 0.000], [0.500, 0.500, 0.000], [0.750, 0.250, 0.500], [0.250, 0.750, 0.500]]}

***

# 3
{"formula": "LiTa5Ir6", "functional": "PBE", "state": "relaxed", "formation_energy_mev_per_atom": -570, "mass_density_g_cm3": 18.247, "spacegroup": "Immm, No. 71", "total_energy_ev_per_atom": -10.0981, "crystal_system": "orthorhombic", "lattice": [[4.074, -0.003, -1.142], [-2.922, 6.337, -2.606], [-0.111, -0.246, 7.445]], "species": ["Ta", "Ta", "Ta", "Ta", "Ta", "Ir", "Ir", "Ir", "Ir", "Ir", "Ir", "Li"], "fractional_positions": [[0.500, 0.178, 0.822], [0.000, 0.355, 0.645], [0.500, 0.500, 0.500], [0.000, 0.645, 0.355], [0.500, 0.822, 0.178], [0.232, 0.065, 0.399], [0.768, 0.601, 0.935], [0.719, 0.219, 0.219], [0.281, 0.781, 0.781], [0.232, 0.399, 0.065], [0.768, 0.935, 0.601], [0.000, 0.000, 0.000]]}

***

# 4
{"formula": "NdYPt2", "functional": "PBE", "state": "relaxed", "formation_energy_mev_per_atom": -1105, "mass_density_g_cm3": 11.468, "spacegroup": "Fm-3m, No. 225", "total_energy_ev_per_atom": -6.9338, "crystal_system": "cubic", "relative_energy_mev_per_atom": 90.8, "lattice": [[5.035, 0.000, 0.000], [2.517, 4.360, 0.000], [2.517, 1.453, 4.111]], "species": ["Y", "Nd", "Pt", "Pt"], "fractional_positions": [[0.000, 0.000, 0.000], [0.500, 0.500, 0.500], [0.250, 0.250, 0.250], [0.750, 0.750, 0.750]]}

***

# 5
{"formula": "PrNiB4", "functional": "PBE", "state": "relaxed", "formation_energy_mev_per_atom": -512, "mass_density_g_cm3": 6.247, "spacegroup": "I4/mmm, No. 139", "total_energy_ev_per_atom": -6.7242, "crystal_system": "tetragonal", "relative_energy_mev_per_atom": 0.0, "lattice": [[-3.129, -5.142, -3.513], [6.761, -1.605, -0.531], [-2.151, 0.440, 6.614]], "species": ["Pr", "Pr", "Pr", "Pr", "Ni", "Ni", "Ni", "Ni", "B", "B", "B", "B", "B", "B", "B", "B", "B", "B", "B", "B", "B", "B", "B", "B"], "fractional_positions": [[0.206, 0.206, 0.000], [0.794, 0.794, 0.000], [0.750, 0.250, 0.500], [0.250, 0.750, 0.500], [0.500, 0.271, 0.771], [0.500, 0.729, 0.229], [0.729, 0.500, 0.229], [0.271, 0.500, 0.771], [0.112, 0.276, 0.388], [0.888, 0.724, 0.612], [0.888, 0.276, 0.164], [0.112, 0.724, 0.836], [0.724, 0.888, 0.612], [0.276, 0.112, 0.388], [0.724, 0.112, 0.836], [0.276, 0.888, 0.164], [0.416, 0.416, 0.529], [0.887, 0.887, 0.471], [0.584, 0.113, 0.000], [0.113, 0.584, 0.000], [0.584, 0.584, 0.471], [0.113, 0.113, 0.529], [0.887, 0.416, 0.000], [0.416, 0.887, 0.000]]}

***

# 6
{"formula": "Zr2ScGe", "functional": "PBE", "state": "relaxed", "formation_energy_mev_per_atom": -62, "mass_density_g_cm3": 5.577, "spacegroup": "I-42d, No. 122", "total_energy_ev_per_atom": -7.0728, "crystal_system": "tetragonal", "lattice": [[-7.122, 0.738, -3.494], [-1.076, -7.877, 0.529], [-5.302, -3.235, 1.040]], "species": ["Sc", "Sc", "Ge", "Ge", "Zr", "Zr", "Zr", "Zr"], "fractional_positions": [[0.500, 0.500, 0.000], [0.250, 0.750, 0.500], [0.000, 0.000, 0.000], [0.750, 0.250, 0.500], [0.660, 0.125, 0.250], [0.090, 0.625, 0.250], [0.375, 0.340, 0.750], [0.875, 0.910, 0.750]]}

***

# 7
{"formula": "Np2VSi4Ir3", "functional": "PBE", "state": "relaxed", "raw_formation_energy_ev_per_atom": -0.606, "mass_density_g_cm3": 11.900, "spacegroup": "P-4m2, No. 115", "total_energy_ev_per_atom": -8.9338, "crystal_system": "tetragonal", "lattice": [[4.110, 0.000, 0.000], [0.000, 4.110, 0.000], [0.000, 0.000, 10.027]], "species": ["Np", "Np", "V", "Si", "Si", "Si", "Si", "Ir", "Ir", "Ir"], "fractional_positions": [[0.500, 0.000, 0.251], [0.000, 0.500, 0.749], [0.500, 0.500, 0.500], [0.500, 0.500, 0.000], [0.000, 0.000, 0.000], [0.500, 0.000, 0.636], [0.000, 0.500, 0.364], [0.000, 0.000, 0.500], [0.500, 0.000, 0.874], [0.000, 0.500, 0.126]]}

***

# 8
{"formula": "TaSi", "functional": "PBE", "state": "relaxed", "raw_formation_energy_ev_per_atom": 0.351, "mass_density_g_cm3": 10.357, "spacegroup": "R-3m, No. 166", "total_energy_ev_per_atom": -8.2870, "crystal_system": "trigonal", "lattice": [[5.853, 0.005, 0.003], [4.633, 3.577, 0.003], [4.633, 1.582, 3.208]], "species": ["Si", "Si", "Ta", "Ta"], "fractional_positions": [[0.340, 0.340, 0.340], [0.660, 0.660, 0.660], [0.101, 0.101, 0.101], [0.899, 0.899, 0.899]]}

***

# 9
{"formula": "EuSiAu3", "functional": "PBE", "state": "relaxed", "raw_formation_energy_ev_per_atom": -0.413, "mass_density_g_cm3": 11.012, "spacegroup": "Pm-3m, No. 221", "total_energy_ev_per_atom": -5.5190, "crystal_system": "cubic", "lattice": [[4.881, 0.000, 0.000], [0.000, 4.881, 0.000], [0.000, 0.000, 4.881]], "species": ["Eu", "Si", "Au", "Au", "Au"], "fractional_positions": [[0.500, 0.500, 0.500], [0.000, 0.000, 0.000], [0.000, 0.500, 0.000], [0.000, 0.000, 0.500], [0.500, 0.000, 0.000]]}

***

# 10
{"formula": "Tb2ZnHg4", "functional": "PBE", "state": "relaxed", "formation_energy_mev_per_atom": -280, "mass_density_g_cm3": 11.586, "spacegroup": "R-3m, No. 166", "total_energy_ev_per_atom": -1.9571, "crystal_system": "trigonal", "lattice": [[4.976, 0.000, 1.554], [2.245, 4.440, 1.554], [0.289, 0.178, 7.816]], "species": ["Tb", "Tb", "Zn", "Hg", "Hg", "Hg", "Hg"], "fractional_positions": [[0.726, 0.726, 0.821], [0.274, 0.274, 0.179], [0.000, 0.000, 0.000], [0.871, 0.871, 0.388], [0.129, 0.129, 0.612], [0.582, 0.582, 0.253], [0.418, 0.418, 0.747]]}

***

# 11
{"formula": "AcPRh3", "functional": "PBE", "state": "relaxed", "formation_energy_mev_per_atom": -682, "mass_density_g_cm3": 9.888, "spacegroup": "P6_3/mmc, No. 194", "total_energy_ev_per_atom": -6.9969, "crystal_system": "hexagonal", "relative_energy_mev_per_atom": 13.2, "lattice": [[6.014, 0.000, 0.000], [-3.007, 5.209, 0.000], [0.000, 0.000, 12.152]], "species": ["Ac", "Ac", "Ac", "Ac", "P", "P", "P", "P", "Rh", "Rh", "Rh", "Rh", "Rh", "Rh", "Rh", "Rh", "Rh", "Rh", "Rh", "Rh"], "fractional_positions": [[0.333, 0.667, 0.250], [0.667, 0.333, 0.750], [0.000, 0.000, 0.500], [0.000, 0.000, 0.000], [0.667, 0.333, 0.126], [0.333, 0.667, 0.626], [0.333, 0.667, 0.874], [0.667, 0.333, 0.374], [0.163, 0.325, 0.750], [0.325, 0.163, 0.250], [0.837, 0.163, 0.250], [0.163, 0.837, 0.750], [0.675, 0.837, 0.750], [0.837, 0.675, 0.250], [0.500, 0.500, 0.500], [0.500, 0.000, 0.000], [0.500, 0.500, 0.000], [0.500, 0.000, 0.500], [0.000, 0.500, 0.500], [0.000, 0.500, 0.000]]}

***

# 12
{"formula": "BeCo2HAu", "functional": "PBE", "state": "relaxed", "mass_density_g_cm3": 10.883, "spacegroup": "P4/mmm, No. 123", "total_energy_ev_per_atom": -4.8474, "crystal_system": "tetragonal", "lattice": [[3.557, 0.000, 0.000], [0.000, 3.557, 0.000], [0.000, 0.000, 3.918]], "species": ["Co", "Co", "Au", "H", "Be"], "fractional_positions": [[0.000, 0.500, 0.000], [0.500, 0.000, 0.000], [0.500, 0.500, 0.500], [0.000, 0.000, 0.000], [0.000, 0.000, 0.500]]}